No. 1
First-principles (PBE) data for a relaxed structure of Li2NiMo, as listed in the Alexandria database.

Results
DFT formation energy	201	meV/atom
M_tot	0.016	μB per cell
DFT total energy	-0.361	Ry per atom

Cell lengths 9.4736, 9.4736, 9.4736 Å; angles 16.31, 16.31, 16.31 degrees
Closest atoms and distances in Å follow each position.
Fractional positions:
1 Li 0.0082 0.0082 0.0082  3 Ni 2.64, 6 Li 2.69
2 Li 0.2483 0.2483 0.2483  6 Li 2.69, 3 Mo 2.95
3 Mo 0.4924 0.4924 0.4924  3 Ni 2.61, 6 Mo 2.69
4 Ni 0.7511 0.7511 0.7511  3 Mo 2.61, 3 Li 2.64, 6 Ni 2.69


No. 2
First-principles (PBE) data for a relaxed structure of TaTi2Sn2H2, as listed in the Alexandria database.

Results
M_tot	0.000	μB per cell
DFT total energy	-0.455	Ry per atom

Cell lengths 3.7411, 3.7411, 7.7429 Å; angles 103.98, 103.98, 90.00 degrees
Closest atoms and distances in Å follow each position.
Fractional positions:
1 Ta 0.0000 0.0000 0.0000  4 H 1.87
2 Ti 0.4007 0.4007 0.8015  4 H 2.36
3 Ti 0.5993 0.5993 0.1985  4 H 2.36
4 Sn 0.1953 0.1953 0.3906  1 Ta 2.84, 5 Ti 2.99, 4 Sn 3.09
5 Sn 0.8047 0.8047 0.6094  1 Ta 2.84, 5 Ti 2.99, 4 Sn 3.09
6 H 0.0000 0.5000 0.0000  2 Ta 1.87
7 H 0.5000 0.0000 0.0000  2 Ta 1.87


No. 3
First-principles (PBE) data for a relaxed structure of Sc5Cu, as listed in the Alexandria database.

Results
DFT formation energy	-51	meV/atom
M_tot	0.001	μB per cell
DFT total energy	-0.442	Ry per atom

Cell lengths 3.3482, 5.8194, 7.7333 Å; angles 68.53, 90.00, 73.28 degrees
Closest atoms and distances in Å follow each position.
Fractional positions:
1 Cu 0.9722 0.0555 0.9447  8 Sc 2.75-2.89
2 Sc 0.3022 0.3955 0.6467  2 Cu 2.89, 1 Sc 3.19
3 Sc 0.6422 0.7155 0.2421  2 Cu 2.89, 1 Sc 3.19
4 Sc 0.6115 0.7770 0.8076  2 Cu 2.76, 2 Sc 3.06
5 Sc 0.9723 0.0554 0.4444  12 Sc 3.13-3.40
6 Sc 0.3329 0.3343 0.0812  2 Cu 2.75, 2 Sc 3.06


No. 4
First-principles (PBE) data for a relaxed structure of UGaRuRh, as listed in the Alexandria database.

Results
DFT formation energy	-440	meV/atom
M_tot	1.982	μB per cell
DFT total energy	-0.601	Ry per atom

Cell lengths 4.5946, 4.5946, 4.5946 Å; angles 60.00, 60.00, 60.00 degrees
Closest atoms and distances in Å follow each position.
Fractional positions:
1 Rh 0.2500 0.2500 0.2500  4 U 2.81, 4 Ga 2.81
2 U 0.0000 0.0000 0.0000  4 Ru 2.81, 4 Rh 2.81
3 Ga 0.5000 0.5000 0.5000  4 Ru 2.81, 4 Rh 2.81
4 Ru 0.7500 0.7500 0.7500  4 U 2.81, 4 Ga 2.81


No. 5
First-principles (PBE) data for a relaxed structure of AgRu2Au, as listed in the Alexandria database.

Results
DFT formation energy	580	meV/atom
M_tot	2.353	μB per cell
DFT total energy	-0.411	Ry per atom

Cell lengths 4.2868, 3.8600, 3.8600 Å; angles 90.00, 90.00, 90.00 degrees
Closest atoms and distances in Å follow each position.
Fractional positions:
1 Ag 0.5000 0.5000 0.0000  4 Au 2.73, 8 Ru 2.88
2 Au 0.5000 0.0000 0.5000  4 Ag 2.73, 8 Ru 2.88
3 Ru 0.0000 0.0000 0.0000  4 Ru 2.73, 4 Au 2.88, 4 Ag 2.88
4 Ru 0.0000 0.5000 0.5000  4 Ru 2.73, 4 Ag 2.88, 4 Au 2.88


No. 6
First-principles (PBE) data for a relaxed structure of TbErSn6, as listed in the Alexandria database.

Results
DFT formation energy	-412	meV/atom
M_tot	0.000	μB per cell
DFT total energy	-0.335	Ry per atom

Cell lengths 4.7103, 4.7103, 9.4396 Å; angles 90.00, 90.00, 90.00 degrees
Closest atoms and distances in Å follow each position.
Fractional positions:
1 Tb 0.0000 0.0000 0.0000  12 Sn 3.33-3.35
2 Er 0.0000 0.0000 0.5000  12 Sn 3.32-3.33
3 Sn 0.5000 0.5000 0.0000  4 Tb 3.33, 8 Sn 3.35
4 Sn 0.5000 0.5000 0.5000  8 Sn 3.32, 4 Er 3.33
5 Sn 0.5000 0.0000 0.2520  8 Sn 3.32-3.35, 2 Er 3.32, 2 Tb 3.35
6 Sn 0.5000 0.0000 0.7480  8 Sn 3.32-3.35, 2 Er 3.32, 2 Tb 3.35
7 Sn 0.0000 0.5000 0.2520  8 Sn 3.32-3.35, 2 Er 3.32, 2 Tb 3.35
8 Sn 0.0000 0.5000 0.7480  8 Sn 3.32-3.35, 2 Er 3.32, 2 Tb 3.35


No. 7
First-principles (PBE) data for a relaxed structure of Ho6CdNi, as listed in the Alexandria database.

Results
DFT formation energy	61	meV/atom
M_tot	0.000	μB per cell
DFT total energy	-0.309	Ry per atom

Cell lengths 6.8692, 6.8814, 7.1850 Å; angles 61.51, 61.56, 60.01 degrees
Closest atoms and distances in Å follow each position.
Fractional positions:
1 Ho 0.0356 0.4192 0.7588  1 Ni 2.63
2 Ho 0.7859 0.0347 0.7586  1 Ni 2.63
3 Ho 0.5807 0.2133 0.2415  1 Ni 2.63
4 Ho 0.2141 0.9653 0.2414  1 Ni 2.63
5 Ho 0.9644 0.5808 0.2412  1 Ni 2.63
6 Ho 0.4193 0.7867 0.7585  1 Ni 2.63
7 Cd 0.5000 0.5000 0.5000  6 Ho 3.01
8 Ni 0.0000 0.0000 0.0000  6 Ho 2.63


No. 8
First-principles (PBE) data for a relaxed structure of BaTiOF2, as listed in the Alexandria database.

Results
M_tot	0.098	μB per cell
formation energy from raw total energies	-1267.2	meV/atom
DFT total energy	-0.365	Ry per atom

Cell lengths 4.8738, 4.8738, 5.1062 Å; angles 90.00, 90.00, 90.00 degrees
Closest atoms and distances in Å follow each position.
Fractional positions:
1 F 0.0000 0.5000 0.0000  2 Ba 2.44
2 F 0.5000 0.0000 0.0000  2 Ba 2.44
3 Ba 0.0000 0.0000 0.0000  4 F 2.44, 2 O 2.55
4 O 0.0000 0.0000 0.5000  2 Ba 2.55
5 Ti 0.5000 0.5000 0.5000  4 O 3.45, 8 F 3.53


No. 9
First-principles (PBE) data for a relaxed structure of Pm12NdSm6, as listed in the Alexandria database.

Results
DFT formation energy	405	meV/atom
M_tot	0.000	μB per cell
DFT total energy	-0.319	Ry per atom

Cell lengths 9.6123, 9.6123, 9.6123 Å; angles 109.24, 109.24, 109.24 degrees
Closest atoms and distances in Å follow each position.
Fractional positions:
1 Pm 0.8932 0.1068 0.5000  3 Pm 3.35-3.63, 4 Sm 3.35-3.50
2 Pm 0.3816 0.1769 0.3816  1 Sm 2.98, 2 Pm 3.21
3 Pm 0.3816 0.3816 0.1769  1 Sm 2.98, 2 Pm 3.21
4 Pm 0.8231 0.6184 0.6184  1 Sm 2.98, 2 Pm 3.21
5 Pm 0.6184 0.6184 0.8231  1 Sm 2.98, 2 Pm 3.21
6 Pm 0.6184 0.8231 0.6184  1 Sm 2.98, 2 Pm 3.21
7 Pm 0.5000 0.8932 0.1068  3 Pm 3.35-3.63, 4 Sm 3.35-3.50
8 Pm 0.1068 0.5000 0.8932  3 Pm 3.35-3.63, 4 Sm 3.35-3.50
9 Pm 0.1068 0.8932 0.5000  3 Pm 3.35-3.63, 4 Sm 3.35-3.50
10 Pm 0.5000 0.1068 0.8932  3 Pm 3.35-3.63, 4 Sm 3.35-3.50
11 Pm 0.8932 0.5000 0.1068  3 Pm 3.35-3.63, 4 Sm 3.35-3.50
12 Pm 0.1769 0.3816 0.3816  1 Sm 2.98, 2 Pm 3.21
13 Nd 0.0000 0.0000 0.0000  6 Pm 3.57
14 Sm 0.6704 0.2237 0.6704  1 Pm 2.98
15 Sm 0.6704 0.6704 0.2237  1 Pm 2.98
16 Sm 0.2237 0.6704 0.6704  1 Pm 2.98
17 Sm 0.3296 0.3296 0.7763  1 Pm 2.98
18 Sm 0.3296 0.7763 0.3296  1 Pm 2.98
19 Sm 0.7763 0.3296 0.3296  1 Pm 2.98


No. 10
First-principles (PBE) data for a relaxed structure of GaAgPtPb, as listed in the Alexandria database.

Results
DFT formation energy	-63	meV/atom
M_tot	0.000	μB per cell
DFT total energy	-0.292	Ry per atom

Cell lengths 3.6824, 4.4712, 5.1988 Å; angles 90.00, 103.48, 90.00 degrees
Closest atoms and distances in Å follow each position.
Fractional positions:
1 Ga 0.4883 0.5000 0.3776  2 Pt 2.50, 1 Ag 2.74
2 Ag 0.8038 0.5000 0.9488  3 Ga 2.74-2.95
3 Pt 0.3732 0.0000 0.1562  2 Ga 2.50
4 Pb 0.0407 0.0000 0.6117  3 Pt 2.81-2.99, 2 Ga 3.08, 2 Ag 3.09


No. 11
First-principles (PBE) data for a relaxed structure of HfTaGaHg2, as listed in the Alexandria database.

Results
DFT formation energy	1233	meV/atom
M_tot	0.000	μB per cell
DFT total energy	-0.283	Ry per atom

Cell lengths 5.5057, 5.0085, 5.5057 Å; angles 90.00, 90.00, 90.00 degrees
Closest atoms and distances in Å follow each position.
Fractional positions:
1 Hf 0.0000 0.0000 0.0000  2 Ta 2.50, 4 Hg 2.75
2 Hg 0.0000 0.0000 0.5000  2 Hf 2.75
3 Hg 0.5000 0.0000 0.0000  2 Hf 2.75
4 Ga 0.5000 0.5000 0.5000  8 Hg 3.72, 4 Ta 3.89
5 Ta 0.0000 0.5000 0.0000  2 Hf 2.50